{
  "formula": "Na2PrVF8",
  "functional": "PBE+U",
  "state": "optimized geometry",
  "lattice_angstrom": [[4.0567, 0.0000, 0.0000], [0.0000, 7.3587, 0.0000], [-0.3346, 0.0000, 5.4917]],
  "species": ["Na", "Na", "Pr", "V", "F", "F", "F", "F", "F", "F", "F", "F"],
  "frac_coords": [[0.0000, 0.2288, 0.0000], [0.0000, 0.7712, 0.0000], [0.5000, 0.5000, 0.5000], [0.5000, 0.0000, 0.5000], [0.0037, 0.5000, 0.2560], [0.0926, 0.0000, 0.2858], [0.4346, 0.2217, 0.7225], [0.4346, 0.7783, 0.7225], [0.5654, 0.2217, 0.2775], [0.5654, 0.7783, 0.2775], [0.9074, 0.0000, 0.7142], [0.9963, 0.5000, 0.7440]],
  "total_energy_ev_per_fu": -68.3,
  "sg": "No. 10",
  "density_g_cm3": 3.95,
  "total_magnetization_mub_per_atom": 0.17
}